Density functional theory data (GGA-PBE) for crystalline AcCeGdSc at its relaxed geometry.

Properties
Crystal system = cubic
DOS at the Fermi energy = 60.5 states/eV/cell
E_tot = -7.38 eV per atom
Formation enthalpy at 0 K = 23.0 kJ/mol of atoms

Cell: 8.077 8.077 8.077 Å, 90.00 90.00 90.00°
Space group F-43m (No. 216)
Unique sites:
1 Ac 0.000 0.000 0.000
2 Ce 0.250 0.250 0.750
3 Gd 0.000 0.000 0.500
4 Sc 0.250 0.250 0.250



Density functional theory data (GGA-PBE) for crystalline AcCeGdSn at its relaxed geometry.

Properties
Crystal system = cubic
DOS at the Fermi energy = 47.8 states/eV/cell
E_tot = -7.15 eV per atom
Formation enthalpy at 0 K = -11.3 kJ/mol of atoms

Cell: 7.977 7.977 7.977 Å, 90.00 90.00 90.00°
Space group F-43m (No. 216)
Unique sites:
1 Ac 0.000 0.000 0.000
2 Ce 0.250 0.250 0.250
3 Gd 0.000 0.000 0.500
4 Sn 0.250 0.250 0.750



Density functional theory data (GGA-PBE) for crystalline AcCeGdTl at its relaxed geometry.

Properties
Crystal system = cubic
DOS at the Fermi energy = 41.3 states/eV/cell
E_tot = -6.58 eV per atom
Formation enthalpy at 0 K = 4.0 kJ/mol of atoms

Cell: 8.019 8.019 8.019 Å, 90.00 90.00 90.00°
Space group F-43m (No. 216)
Unique sites:
1 Ac 0.000 0.000 0.000
2 Ce 0.250 0.250 0.250
3 Gd 0.250 0.250 0.750
4 Tl 0.000 0.000 0.500



Density functional theory data (GGA-PBE) for crystalline AcCeGdTm at its relaxed geometry.

Properties
Crystal system = cubic
DOS at the Fermi energy = 46.3 states/eV/cell
E_tot = -6.96 eV per atom
Formation enthalpy at 0 K = 18.1 kJ/mol of atoms

Cell: 8.232 8.232 8.232 Å, 90.00 90.00 90.00°
Space group F-43m (No. 216)
Unique sites:
1 Ac 0.000 0.000 0.000
2 Ce 0.000 0.000 0.500
3 Gd 0.250 0.250 0.250
4 Tm 0.250 0.250 0.750



Density functional theory data (GGA-PBE) for crystalline AcCeGdZn at its relaxed geometry.

Properties
Crystal system = cubic
DOS at the Fermi energy = 38.2 states/eV/cell
E_tot = -6.16 eV per atom
Formation enthalpy at 0 K = 17.9 kJ/mol of atoms

Cell: 7.831 7.831 7.831 Å, 90.00 90.00 90.00°
Space group F-43m (No. 216)
Unique sites:
1 Ac 0.000 0.000 0.000
2 Ce 0.250 0.250 0.750
3 Gd 0.250 0.250 0.250
4 Zn 0.000 0.000 0.500



Density functional theory data (GGA-PBE) for crystalline AcCe2Ge4 at its relaxed geometry.

Properties
Crystal system = orthorhombic
DOS at the Fermi energy = 23.1 states/eV/cell
E_tot = -5.61 eV per atom
Formation enthalpy at 0 K = -66.0 kJ/mol of atoms

Cell: 4.153 4.541 18.749 Å, 90.00 90.00 90.00°
Space group Immm (No. 71)
Unique sites:
1 Ac 0.000 0.000 0.000
2 Ce 0.000 0.500 0.319
3 Ge 0.000 0.000 0.430
4 Ge 0.000 0.500 0.158



Density functional theory data (GGA-PBE) for crystalline AcCe3Ge2 at its relaxed geometry.

Properties
Crystal system = monoclinic
DOS at the Fermi energy = 40.2 states/eV/cell
E_tot = -5.65 eV per atom
Formation enthalpy at 0 K = -44.6 kJ/mol of atoms

Cell: 17.871 4.546 9.024 Å, 90.00 115.61 90.00°
Space group C2/m (No. 12)
Unique sites:
1 Ac 0.137 0.000 0.065
2 Ce 0.045 0.000 0.396
3 Ce 0.101 0.500 0.686
4 Ce 0.180 0.500 0.481
5 Ge 0.017 0.500 0.151
6 Ge 0.221 0.000 0.734



Density functional theory data (GGA-PBE) for crystalline Ac3Ce3Ge4 at its relaxed geometry.

Properties
Crystal system = orthorhombic
DOS at the Fermi energy = 33.9 states/eV/cell
E_tot = -5.46 eV per atom
Formation enthalpy at 0 K = -58.3 kJ/mol of atoms

Cell: 4.362 11.614 11.663 Å, 90.00 90.00 90.00°
Space group Amm2 (No. 38)
Unique sites:
1 Ac 0.000 0.000 0.000
2 Ac 0.000 0.155 0.649
3 Ce 0.000 0.000 0.306
4 Ce 0.500 0.249 0.400
5 Ge 0.500 0.000 0.487
6 Ge 0.500 0.000 0.801
7 Ge 0.500 0.143 0.162



Density functional theory data (GGA-PBE) for crystalline Ac2Ce3Ge4 at its relaxed geometry.

Properties
Crystal system = monoclinic
DOS at the Fermi energy = 33.6 states/eV/cell
E_tot = -5.66 eV per atom
Formation enthalpy at 0 K = -69.3 kJ/mol of atoms

Cell: 8.213 8.162 8.105 Å, 90.00 111.76 90.00°
Space group P2_1/c (No. 14)
Unique sites:
1 Ac 0.197 0.180 0.065
2 Ce 0.240 0.661 0.228
3 Ce 0.500 0.000 0.500
4 Ge 0.092 0.544 0.837
5 Ge 0.498 0.628 0.626



Density functional theory data (GGA-PBE) for crystalline Ac2Ce2Ge at its relaxed geometry.

Properties
Crystal system = tetragonal
DOS at the Fermi energy = 17.8 states/eV/cell
E_tot = -4.93 eV per atom
Formation enthalpy at 0 K = 1.4 kJ/mol of atoms

Cell: 3.967 3.967 20.940 Å, 90.00 90.00 90.00°
Space group I4/mmm (No. 139)
Unique sites:
1 Ac 0.000 0.000 0.082
2 Ce 0.000 0.500 0.250
3 Ge 0.000 0.000 0.500



Density functional theory data (GGA-PBE) for crystalline AcCe2Ge2 at its relaxed geometry.

Properties
Crystal system = orthorhombic
DOS at the Fermi energy = 37.3 states/eV/cell
E_tot = -5.53 eV per atom
Formation enthalpy at 0 K = -46.6 kJ/mol of atoms

Cell: 6.057 8.551 11.986 Å, 90.00 90.00 90.00°
Space group Imma (No. 74)
Unique sites:
1 Ac 0.000 0.250 0.121
2 Ce 0.000 0.094 0.634
3 Ge 0.000 0.250 0.404
4 Ge 0.000 0.250 0.857



Density functional theory data (GGA-PBE) for crystalline Ac4CeGe5 at its relaxed geometry.

Properties
Crystal system = tetragonal
DOS at the Fermi energy = 32.8 states/eV/cell
E_tot = -5.09 eV per atom
Formation enthalpy at 0 K = -52.3 kJ/mol of atoms

Cell: 10.118 10.118 6.390 Å, 90.00 90.00 90.00°
Space group I4 (No. 79)
Unique sites:
1 Ac 0.094 0.301 0.000
2 Ce 0.000 0.000 0.501
3 Ge 0.000 0.000 0.002
4 Ge 0.094 0.278 0.500